ZrZn2Br: relaxed, PBE.

Calculated values
As for the polymorph energy (0 for the lowest one): 200 meV per atom. The value obtained for the size of the total moment is 0.00 μB per cell. Its density of states at the Fermi level is 0.769 states/eV per atom. The value obtained for the formation energy from raw total energies is -7.4 kJ/mol of atoms. The density is 5998 kg/m3.

```
ZrZn2Br
1.0
8.852 -0.004 -0.002
8.222 3.279 -0.002
8.222 1.577 2.875
Zn Zr Br
2 1 1
Direct
0.497 0.497 0.497
0.003 0.003 0.003
0.250 0.250 0.250
0.750 0.750 0.750
```



ZrZn2Br8: relaxed, PBE.

Calculated values
The value obtained for the size of the total moment is 0.23 μB per cell. Its density of states at the Fermi level is 0.000 states/eV per atom. The value obtained for the formation energy from raw total energies is -99.0 kJ/mol of atoms. The density is 3532 kg/m3.

```
ZrZn2Br8
1.0
-4.379 3.031 -3.592
-3.572 3.327 6.781
2.959 7.464 2.310
Br Zn Zr
8 2 1
Direct
0.237 0.285 0.868
0.711 0.663 0.663
0.765 0.160 0.160
0.763 0.132 0.715
0.235 0.840 0.840
0.289 0.337 0.337
0.763 0.715 0.132
0.237 0.868 0.285
0.375 0.178 0.178
0.625 0.822 0.822
0.000 0.000 0.000
```



ZrZn2Br: relaxed, PBE.

Calculated values
As for the polymorph energy (0 for the lowest one): 722 meV per atom. The value obtained for the size of the total moment is 0.00 μB per cell. Its density of states at the Fermi level is 1.017 states/eV per atom. The value obtained for the formation energy from raw total energies is 43.0 kJ/mol of atoms. The density is 5977 kg/m3.

```
ZrZn2Br
1.0
1.032 -3.331 3.462
1.986 1.422 4.263
-2.663 -0.161 4.126
Br Zr Zn
1 1 2
Direct
0.000 0.000 0.000
0.500 0.500 0.500
0.750 0.750 0.750
0.250 0.250 0.250
```



ZrZn2Br: relaxed, PBE.

Calculated values
As for the polymorph energy (0 for the lowest one): 239 meV per atom. The value obtained for the size of the total moment is 0.00 μB per cell. Its density of states at the Fermi level is 0.626 states/eV per atom. The value obtained for the formation energy from raw total energies is -3.5 kJ/mol of atoms. The density is 5964 kg/m3.

```
ZrZn2Br
1.0
-1.124 -1.411 -2.730
2.994 -0.967 0.897
-3.463 -6.356 4.711
Zr Br Zn
1 1 2
Direct
0.500 0.500 0.250
0.500 0.500 0.750
0.000 0.000 0.995
0.000 0.000 0.505
```



ZrZn2Br: relaxed, PBE.

Calculated values
As for the polymorph energy (0 for the lowest one): 269 meV per atom. The value obtained for the size of the total moment is 0.00 μB per cell. Its density of states at the Fermi level is 0.457 states/eV per atom. The value obtained for the formation energy from raw total energies is -0.7 kJ/mol of atoms. The density is 6527 kg/m3.

```
ZrZn2Br
1.0
5.247 0.010 0.000
1.848 4.911 0.000
-3.547 -2.461 2.983
Br Zr Zn
1 1 2
Direct
0.750 0.250 0.500
0.500 0.500 0.000
0.250 0.750 0.500
0.000 0.000 0.000
```



ZrBr4: relaxed, PBE.

Calculated values
The value obtained for the size of the total moment is 0.00 μB per cell. Its density of states at the Fermi level is 0.329 states/eV per atom. The value obtained for the formation energy from raw total energies is -68.5 kJ/mol of atoms. The density is 4653 kg/m3.

```
ZrBr4
1.0
-1.801 -5.415 -0.732
-0.860 1.585 5.464
-2.948 3.491 -3.496
Zr Br
1 4
Direct
0.000 0.000 0.000
0.500 0.000 0.000
0.500 0.500 0.500
0.000 0.000 0.500
0.000 0.500 0.000
```



Zr2Br3: relaxed, PBE.

Calculated values
The value obtained for the size of the total moment is 0.00 μB per cell. Its density of states at the Fermi level is 0.814 states/eV per atom. The value obtained for the formation energy from raw total energies is -60.5 kJ/mol of atoms. The density is 4973 kg/m3.

```
Zr2Br3
1.0
1.650 -0.299 -4.436
-2.458 -3.602 1.864
-6.145 2.910 -2.481
Zr Br
2 3
Direct
0.667 0.333 0.102
0.333 0.667 0.898
0.000 0.000 0.000
0.333 0.667 0.284
0.667 0.333 0.716
```



ZrBr: relaxed, PBE.

Calculated values
As for the polymorph energy (0 for the lowest one): 295 meV per atom. The value obtained for the size of the total moment is 0.00 μB per cell. Its density of states at the Fermi level is 0.710 states/eV per atom. The value obtained for the formation energy from raw total energies is -66.9 kJ/mol of atoms. The density is 5493 kg/m3.

```
ZrBr
1.0
-1.487 -6.960 8.257
10.793 -1.250 0.890
0.121 2.650 2.256
Zr Br
8 8
Direct
0.364 0.901 0.500
0.636 0.099 0.500
0.136 0.599 0.000
0.864 0.401 0.000
0.401 0.136 0.000
0.599 0.864 0.000
0.901 0.636 0.500
0.099 0.364 0.500
0.607 0.298 0.000
0.298 0.393 0.000
0.702 0.607 0.000
0.798 0.893 0.500
0.393 0.702 0.000
0.893 0.202 0.500
0.202 0.107 0.500
0.107 0.798 0.500
```



Which of these has the lowest formation energy from raw total energies?
ZrZn2Br8